# 1
Tl2RhBr | PBE | relaxed

## Properties
N(E_F)   0.089 states/eV per atom
Formation energy (no corrections)   1.9 kcal/mol of atoms
Spin magnetization   0.00 μB per cell

CIF file:
```
data_Tl2RhBr
_space_group_name_H-M_alt 'I -4 2 d'
_space_group_IT_number 122
_space_group_name_Hall 'I -4 2bw'
_cell_length_a 6.5774
_cell_length_b 6.5774
_cell_length_c 13.4808
_cell_angle_alpha 90.00
_cell_angle_beta 90.00
_cell_angle_gamma 90.00
loop_
_atom_site_label
_atom_site_type_symbol
_atom_site_fract_x
_atom_site_fract_y
_atom_site_fract_z
Tl1 Tl 0.1793 0.2500 0.1250
Rh1 Rh 0.0000 0.0000 0.0000
Br1 Br 0.0000 0.0000 0.5000
```

=====

# 2
Tb4Cd2Sn | PBE | relaxed

## Properties
N(E_F)   1.395 states/eV per atom
ΔH_f (0 K)   -0.24 eV/atom
Spin magnetization   0.01 μB per cell

CIF file:
```
data_Tb4Cd2Sn
_space_group_name_H-M_alt 'R -3 m'
_space_group_IT_number 166
_space_group_name_Hall '-R 3 2"'
_cell_length_a 5.2300
_cell_length_b 5.2300
_cell_length_c 25.7203
_cell_angle_alpha 90.00
_cell_angle_beta 90.00
_cell_angle_gamma 120.00
loop_
_atom_site_label
_atom_site_type_symbol
_atom_site_fract_x
_atom_site_fract_y
_atom_site_fract_z
Tb1 Tb 0.0000 0.0000 0.1193
Tb2 Tb 0.0000 0.0000 0.3717
Cd1 Cd 0.0000 0.0000 0.2508
Sn1 Sn 0.0000 0.0000 0.5000
```

=====

# 3
Ca2ErCd5 | PBE | relaxed

## Properties
N(E_F)   0.602 states/eV per atom
ΔH_f (0 K)   -0.29 eV/atom
Spin magnetization   0.00 μB per cell

CIF file:
```
data_Ca2ErCd5
_space_group_name_H-M_alt 'I 4/m m m'
_space_group_IT_number 139
_space_group_name_Hall '-I 4 2'
_cell_length_a 5.2536
_cell_length_b 5.2536
_cell_length_c 14.8336
_cell_angle_alpha 90.00
_cell_angle_beta 90.00
_cell_angle_gamma 90.00
loop_
_atom_site_label
_atom_site_type_symbol
_atom_site_fract_x
_atom_site_fract_y
_atom_site_fract_z
Ca1 Ca 0.0000 0.0000 0.2433
Er1 Er 0.0000 0.0000 0.5000
Cd1 Cd 0.0000 0.0000 0.0000
Cd2 Cd 0.0000 0.5000 0.1167
```

=====

# 4
Ac2TbHg | PBE | relaxed

## Properties
N(E_F)   1.576 states/eV per atom
ΔH_f (0 K)   0.13 eV/atom
Spin magnetization   0.81 μB per cell

CIF file:
```
data_Ac2TbHg
_space_group_name_H-M_alt 'R -3 m'
_space_group_IT_number 166
_space_group_name_Hall '-R 3 2"'
_cell_length_a 3.7542
_cell_length_b 3.7542
_cell_length_c 37.1059
_cell_angle_alpha 90.00
_cell_angle_beta 90.00
_cell_angle_gamma 120.00
loop_
_atom_site_label
_atom_site_type_symbol
_atom_site_fract_x
_atom_site_fract_y
_atom_site_fract_z
Ac1 Ac 0.0000 0.0000 0.0950
Tb1 Tb 0.0000 0.0000 0.0000
Hg1 Hg 0.0000 0.0000 0.5000
```

=====

# 5
RbBa2MgRh | PBE | relaxed

## Properties
N(E_F)   0.858 states/eV per atom
ΔH_f (0 K)   -0.05 eV/atom
Spin magnetization   0.00 μB per cell

CIF file:
```
data_RbBa2MgRh
_space_group_name_H-M_alt 'P 4/m m m'
_space_group_IT_number 123
_space_group_name_Hall '-P 4 2'
_cell_length_a 6.1477
_cell_length_b 6.1477
_cell_length_c 5.5157
_cell_angle_alpha 90.00
_cell_angle_beta 90.00
_cell_angle_gamma 90.00
loop_
_atom_site_label
_atom_site_type_symbol
_atom_site_fract_x
_atom_site_fract_y
_atom_site_fract_z
Rb1 Rb 0.0000 0.0000 0.0000
Ba1 Ba 0.0000 0.5000 0.5000
Mg1 Mg 0.5000 0.5000 0.0000
Rh1 Rh 0.5000 0.5000 0.5000
```

=====

# 6
CuSnOsC | PBE | relaxed

## Properties
N(E_F)   0.371 states/eV per atom
ΔH_f (0 K)   0.52 eV/atom
Spin magnetization   0.00 μB per cell

CIF file:
```
data_CuSnOsC
_space_group_name_H-M_alt 'C 1 m 1'
_space_group_IT_number 8
_cell_length_a 5.8426
_cell_length_b 3.3256
_cell_length_c 6.5605
_cell_angle_alpha 90.00
_cell_angle_beta 98.77
_cell_angle_gamma 90.00
loop_
_space_group_symop_operation_xyz
'x,y,z'
'x,-y,z'
'x+1/2,y+1/2,z'
'x+1/2,-y+1/2,z'
loop_
_atom_site_label
_atom_site_type_symbol
_atom_site_fract_x
_atom_site_fract_y
_atom_site_fract_z
Cu1 Cu 0.0000 0.0000 0.0000
Sn1 Sn 0.2285 0.5000 0.3117
Os1 Os 0.4725 0.0000 0.6532
C1 C 0.3152 0.5000 0.7193
```